Record 1
Below is Zn2SiMo after structural relaxation, with properties calculated at the PBE level.

- uncorrected formation energy (kcal/mol of atoms) = -0.9

Cell and atoms, written as CIF:
```
data_Zn2SiMo
_cell_length_a 3.5756
_cell_length_b 3.5756
_cell_length_c 8.9445
_cell_angle_alpha 90.00
_cell_angle_beta 90.00
_cell_angle_gamma 90.00
_symmetry_space_group_name_H-M 'I 4/m m m'
_symmetry_Int_Tables_number 139
_symmetry_space_group_name_Hall '-I 4 2'
loop_
_atom_site_label
_atom_site_type_symbol
_atom_site_fract_x
_atom_site_fract_y
_atom_site_fract_z
Zn1 Zn 0.0000 0.5000 0.2500
Si1 Si 0.0000 0.0000 0.0000
Mo1 Mo 0.0000 0.0000 0.5000
```

Record 2
Below is LaSnTe3 after structural relaxation, with properties calculated at the PBE level.

- uncorrected formation energy (kcal/mol of atoms) = -18.7
- excess energy over the best structure of this formula in the dataset (meV/atom) = 53.0

Cell and atoms, written as CIF:
```
data_LaSnTe3
_cell_length_a 13.5892
_cell_length_b 6.4519
_cell_length_c 7.4844
_cell_angle_alpha 90.00
_cell_angle_beta 90.00
_cell_angle_gamma 90.00
_symmetry_space_group_name_H-M 'P b c m'
_symmetry_Int_Tables_number 57
loop_
_symmetry_equiv_pos_as_xyz
'x,y,z'
'-x,-y,-z'
'-x,-y,z+1/2'
'x,y,-z+1/2'
'x,-y+1/2,-z'
'-x,y+1/2,z'
'-x,y+1/2,-z+1/2'
'x,-y+1/2,z+1/2'
loop_
_atom_site_label
_atom_site_type_symbol
_atom_site_fract_x
_atom_site_fract_y
_atom_site_fract_z
La1 La 0.1646 0.0236 0.2500
Sn1 Sn 0.4119 0.7500 0.0000
Te1 Te 0.0014 0.7500 0.0000
Te2 Te 0.2382 0.5476 0.2500
Te3 Te 0.4099 0.1276 0.2500
```

Record 3
Below is AlAg3W after structural relaxation, with properties calculated at the PBE level.

- excess energy over the best structure of this formula in the dataset (meV/atom) = 0.0

Cell and atoms, written as CIF:
```
data_AlAg3W
_cell_length_a 4.6183
_cell_length_b 4.6183
_cell_length_c 4.6183
_cell_angle_alpha 90.00
_cell_angle_beta 90.00
_cell_angle_gamma 90.00
_symmetry_space_group_name_H-M 'P m -3 m'
_symmetry_Int_Tables_number 221
_symmetry_space_group_name_Hall '-P 4 2 3'
loop_
_atom_site_label
_atom_site_type_symbol
_atom_site_fract_x
_atom_site_fract_y
_atom_site_fract_z
Al1 Al 0.0000 0.0000 0.0000
Ag1 Ag 0.0000 0.0000 0.5000
W1 W 0.5000 0.5000 0.5000
```

Record 4
Below is Cs3Te4P after structural relaxation, with properties calculated at the PBE level.

- uncorrected formation energy (kcal/mol of atoms) = -15.4

Cell and atoms, written as CIF:
```
data_Cs3Te4P
_cell_length_a 10.5581
_cell_length_b 12.5901
_cell_length_c 11.4457
_cell_angle_alpha 90.00
_cell_angle_beta 90.00
_cell_angle_gamma 90.00
_symmetry_space_group_name_H-M 'P n m a'
_symmetry_Int_Tables_number 62
loop_
_symmetry_equiv_pos_as_xyz
'x,y,z'
'-x,-y,-z'
'-x+1/2,-y,z+1/2'
'x+1/2,y,-z+1/2'
'x+1/2,-y+1/2,-z+1/2'
'-x+1/2,y+1/2,z+1/2'
'-x,y+1/2,-z'
'x,-y+1/2,z'
loop_
_atom_site_label
_atom_site_type_symbol
_atom_site_fract_x
_atom_site_fract_y
_atom_site_fract_z
Cs1 Cs 0.0481 0.0419 0.1884
Cs2 Cs 0.1696 0.7500 0.4156
Te1 Te 0.0487 0.7500 0.0805
Te2 Te 0.1287 0.0806 0.5209
Te3 Te 0.2037 0.7500 0.7584
P1 P 0.2472 0.2500 0.4698
```

Record 5
Below is CoPS2I after structural relaxation, with properties calculated at the PBE level.

- uncorrected formation energy (kcal/mol of atoms) = 12.2
- excess energy over the best structure of this formula in the dataset (meV/atom) = 0.0

Cell and atoms, written as CIF:
```
data_CoPS2I
_cell_length_a 4.6292
_cell_length_b 4.6292
_cell_length_c 4.3066
_cell_angle_alpha 90.00
_cell_angle_beta 90.00
_cell_angle_gamma 90.00
_symmetry_space_group_name_H-M 'P 4/m m m'
_symmetry_Int_Tables_number 123
_symmetry_space_group_name_Hall '-P 4 2'
loop_
_atom_site_label
_atom_site_type_symbol
_atom_site_fract_x
_atom_site_fract_y
_atom_site_fract_z
Co1 Co 0.0000 0.0000 0.0000
P1 P 0.0000 0.0000 0.5000
S1 S 0.0000 0.5000 0.0000
I1 I 0.5000 0.5000 0.5000
```

Record 6
Below is Dy5Ga2Os after structural relaxation, with properties calculated at the PBE level.

- E_tot (eV/atom) = -5.4512

Cell and atoms, written as CIF:
```
data_Dy5Ga2Os
_cell_length_a 7.2833
_cell_length_b 11.9387
_cell_length_c 4.6238
_cell_angle_alpha 90.00
_cell_angle_beta 90.00
_cell_angle_gamma 90.00
_symmetry_space_group_name_H-M 'P b a m'
_symmetry_Int_Tables_number 55
loop_
_symmetry_equiv_pos_as_xyz
'x,y,z'
'-x,-y,-z'
'-x,-y,z'
'x,y,-z'
'x+1/2,-y+1/2,-z'
'-x+1/2,y+1/2,z'
'-x+1/2,y+1/2,-z'
'x+1/2,-y+1/2,z'
loop_
_atom_site_label
_atom_site_type_symbol
_atom_site_fract_x
_atom_site_fract_y
_atom_site_fract_z
Dy1 Dy 0.0000 0.0000 0.0000
Dy2 Dy 0.1448 0.2901 0.0000
Dy3 Dy 0.1835 0.5800 0.5000
Ga1 Ga 0.0767 0.8354 0.5000
Os1 Os 0.0000 0.5000 0.0000
```

Record 7
Below is RbCdHO2 after structural relaxation, with properties calculated at the PBE level.

- E_tot (eV/atom) = -4.0973

Cell and atoms, written as CIF:
```
data_RbCdHO2
_cell_length_a 5.9997
_cell_length_b 4.2724
_cell_length_c 6.5230
_cell_angle_alpha 90.00
_cell_angle_beta 102.59
_cell_angle_gamma 90.00
_symmetry_space_group_name_H-M 'P 1 2/c 1'
_symmetry_Int_Tables_number 13
loop_
_symmetry_equiv_pos_as_xyz
'x,y,z'
'-x,-y,-z'
'-x,y,-z+1/2'
'x,-y,z+1/2'
loop_
_atom_site_label
_atom_site_type_symbol
_atom_site_fract_x
_atom_site_fract_y
_atom_site_fract_z
Rb1 Rb 0.0000 0.1787 0.2500
Cd1 Cd 0.5000 0.4716 0.7500
H1 H 0.5000 0.0000 0.0000
O1 O 0.3471 0.2053 0.9792
```

Record 8
Below is La2RhCl after structural relaxation, with properties calculated at the PBE level.

- uncorrected formation energy (kcal/mol of atoms) = -23.6
- excess energy over the best structure of this formula in the dataset (meV/atom) = 264.4

Cell and atoms, written as CIF:
```
data_La2RhCl
_cell_length_a 4.3302
_cell_length_b 6.2457
_cell_length_c 7.6445
_cell_angle_alpha 90.00
_cell_angle_beta 90.00
_cell_angle_gamma 90.00
_symmetry_space_group_name_H-M 'I m m m'
_symmetry_Int_Tables_number 71
_symmetry_space_group_name_Hall '-I 2 2'
loop_
_atom_site_label
_atom_site_type_symbol
_atom_site_fract_x
_atom_site_fract_y
_atom_site_fract_z
La1 La 0.0000 0.0000 0.2387
Rh1 Rh 0.0000 0.5000 0.5000
Cl1 Cl 0.0000 0.5000 0.0000
```

Record 9
Below is Cd3GaBi3 after structural relaxation, with properties calculated at the PBE level.

- E_tot (eV/atom) = -2.1220

Cell and atoms, written as CIF:
```
data_Cd3GaBi3
_cell_length_a 8.2419
_cell_length_b 8.2419
_cell_length_c 8.2419
_cell_angle_alpha 90.00
_cell_angle_beta 90.00
_cell_angle_gamma 90.00
_symmetry_space_group_name_H-M 'P m -3 n'
_symmetry_Int_Tables_number 223
_symmetry_space_group_name_Hall '-P 4n 2 3'
loop_
_atom_site_label
_atom_site_type_symbol
_atom_site_fract_x
_atom_site_fract_y
_atom_site_fract_z
Cd1 Cd 0.0000 0.2500 0.5000
Ga1 Ga 0.0000 0.0000 0.0000
Bi1 Bi 0.0000 0.5000 0.2500
```

Record 10
Below is Pr2Dy6ErTm after structural relaxation, with properties calculated at the PBE level.

- E_tot (eV/atom) = -4.5037

Cell and atoms, written as CIF:
```
data_Pr2Dy6ErTm
_cell_length_a 9.0150
_cell_length_b 15.0384
_cell_length_c 9.7098
_cell_angle_alpha 90.00
_cell_angle_beta 99.15
_cell_angle_gamma 90.00
_symmetry_space_group_name_H-M 'C 1 2/c 1'
_symmetry_Int_Tables_number 15
loop_
_symmetry_equiv_pos_as_xyz
'x,y,z'
'-x,-y,-z'
'-x,y,-z+1/2'
'x,-y,z+1/2'
'x+1/2,y+1/2,z'
'-x+1/2,-y+1/2,-z'
'-x+1/2,y+1/2,-z+1/2'
'x+1/2,-y+1/2,z+1/2'
loop_
_atom_site_label
_atom_site_type_symbol
_atom_site_fract_x
_atom_site_fract_y
_atom_site_fract_z
Pr1 Pr 0.2451 0.0518 0.0423
Dy1 Dy 0.0649 0.1907 0.4426
Dy2 Dy 0.1028 0.3950 0.6192
Dy3 Dy 0.2012 0.2219 0.8113
Er1 Er 0.0000 0.0170 0.7500
Tm1 Tm 0.0000 0.4066 0.2500
```

Record 11
Below is Ce3Y3CuS8 after structural relaxation, with properties calculated at the PBE level.

- uncorrected formation energy (kcal/mol of atoms) = -41.4

Cell and atoms, written as CIF:
```
data_Ce3Y3CuS8
_cell_length_a 7.8582
_cell_length_b 7.8582
_cell_length_c 19.3645
_cell_angle_alpha 90.00
_cell_angle_beta 90.00
_cell_angle_gamma 120.00
_symmetry_space_group_name_H-M 'R -3 m'
_symmetry_Int_Tables_number 166
_symmetry_space_group_name_Hall '-R 3 2"'
loop_
_atom_site_label
_atom_site_type_symbol
_atom_site_fract_x
_atom_site_fract_y
_atom_site_fract_z
Ce1 Ce 0.0000 0.5000 0.0000
Y1 Y 0.0000 0.5000 0.5000
Cu1 Cu 0.0000 0.0000 0.5000
S1 S 0.0000 0.0000 0.2465
S2 S 0.0070 0.5035 0.2456
```

Record 12
Below is NpSiTc2 after structural relaxation, with properties calculated at the PBE level.

- uncorrected formation energy (kcal/mol of atoms) = -4.4
- excess energy over the best structure of this formula in the dataset (meV/atom) = 0.0

Cell and atoms, written as CIF:
```
data_NpSiTc2
_cell_length_a 4.2873
_cell_length_b 4.2873
_cell_length_c 3.4600
_cell_angle_alpha 90.00
_cell_angle_beta 90.00
_cell_angle_gamma 90.00
_symmetry_space_group_name_H-M 'P 4/m m m'
_symmetry_Int_Tables_number 123
_symmetry_space_group_name_Hall '-P 4 2'
loop_
_atom_site_label
_atom_site_type_symbol
_atom_site_fract_x
_atom_site_fract_y
_atom_site_fract_z
Np1 Np 0.0000 0.0000 0.0000
Si1 Si 0.5000 0.5000 0.0000
Tc1 Tc 0.0000 0.5000 0.5000
```